[1]
## Hf2AsPd (PBE-GGA)

Data for an optimized crystal structure of Hf2AsPd.

Computed properties:
**Total DFT energy (no corrections)**: -7.85 eV per atom
**Symmetry**: I-42d
**Theoretical density**: 11.22 Mg/m³
**Crystal system**: tetragonal
**Formation energy from the elements**: -1.7 eV per formula unit
**Density of states at the Fermi level**: 0.69 states/eV per atom
**Total moment**: 0.00 μB per formula unit

Lattice parameters (Å, degrees): 5.957 5.957 5.957 104.96 104.96 118.93
Fractional positions:
Hf 0.123 0.625 0.998
Hf 0.375 0.373 0.498
Hf 0.627 0.125 0.002
Hf 0.875 0.877 0.502
As 0.250 0.750 0.500
As 0.500 0.500 0.000
Pd 0.000 0.000 0.000
Pd 0.750 0.250 0.500


[2]
## HfAsPd4 (PBE-GGA)

Data for an optimized crystal structure of HfAsPd4.

Computed properties:
**Total DFT energy (no corrections)**: -6.43 eV per atom
**Symmetry**: P4/mmm
**Theoretical density**: 11.33 Mg/m³
**Crystal system**: tetragonal
**Formation energy from the elements**: -3.2 eV per formula unit
**Density of states at the Fermi level**: 0.50 states/eV per atom
**Total moment**: 0.00 μB per formula unit

Lattice parameters (Å, degrees): 3.407 3.407 8.577 90.00 90.00 90.00
Fractional positions:
Hf 0.000 0.000 0.000
As 0.500 0.500 0.500
Pd 0.000 0.000 0.338
Pd 0.000 0.000 0.662
Pd 0.500 0.500 0.163
Pd 0.500 0.500 0.837


[3]
## HfAs2Pd (PBE-GGA)

Data for an optimized crystal structure of HfAs2Pd.

Computed properties:
**Total DFT energy (no corrections)**: -6.53 eV per atom
**Symmetry**: Fm-3m
**Theoretical density**: 10.24 Mg/m³
**Crystal system**: cubic
**Formation energy from the elements**: -1.7 eV per formula unit
**Density of states at the Fermi level**: 0.37 states/eV per atom
**Total moment**: 0.00 μB per formula unit

Lattice parameters (Å, degrees): 4.637 4.637 4.637 60.00 60.00 60.00
Fractional positions:
Hf 0.000 0.000 0.000
As 0.250 0.250 0.250
As 0.750 0.750 0.750
Pd 0.500 0.500 0.500


[4]
## HfAsPd3 (PBE-GGA)

Data for an optimized crystal structure of HfAsPd3.

Computed properties:
**Total DFT energy (no corrections)**: -5.37 eV per atom
**Symmetry**: Pm-3m
**Theoretical density**: 8.26 Mg/m³
**Crystal system**: cubic
**Formation energy from the elements**: 3.3 eV per formula unit
**Density of states at the Fermi level**: 0.45 states/eV per atom
**Offset from the most stable computed form**: 0.6179 eV per atom
**Total moment**: 0.00 μB per formula unit

Lattice parameters (Å, degrees): 4.865 4.865 4.865 90.00 90.00 90.00
Fractional positions:
Hf 0.000 0.000 0.000
As 0.500 0.500 0.500
Pd 0.000 0.000 0.500
Pd 0.000 0.500 0.000
Pd 0.500 0.000 0.000


[5]
## HfAs2Pd (PBE-GGA)

Data for an optimized crystal structure of HfAs2Pd.

Computed properties:
**Total DFT energy (no corrections)**: -6.69 eV per atom
**Symmetry**: P4/mmm
**Theoretical density**: 10.47 Mg/m³
**Crystal system**: tetragonal
**Formation energy from the elements**: -2.3 eV per formula unit
**Density of states at the Fermi level**: 0.34 states/eV per atom
**Total moment**: 0.00 μB per formula unit

Lattice parameters (Å, degrees): 4.498 4.498 3.408 90.00 90.00 90.00
Fractional positions:
Hf 0.000 0.000 0.000
As 0.000 0.500 0.500
As 0.500 0.000 0.500
Pd 0.500 0.500 0.000


[6]
## Hf4AsPd (PBE-GGA)

Data for an optimized crystal structure of Hf4AsPd.

Computed properties:
**Total DFT energy (no corrections)**: -8.57 eV per atom
**Symmetry**: C2/c
**Theoretical density**: 11.28 Mg/m³
**Crystal system**: monoclinic
**Formation energy from the elements**: -1.8 eV per formula unit
**Density of states at the Fermi level**: 0.92 states/eV per atom
**Total moment**: 0.00 μB per formula unit

Lattice parameters (Å, degrees): 7.773 7.773 6.115 105.75 105.75 121.15
Fractional positions:
Hf 0.108 0.684 0.930
Hf 0.225 0.341 0.757
Hf 0.316 0.892 0.570
Hf 0.341 0.225 0.257
Hf 0.659 0.775 0.743
Hf 0.684 0.108 0.430
Hf 0.775 0.659 0.243
Hf 0.892 0.316 0.070
As 0.060 0.940 0.750
As 0.940 0.060 0.250
Pd 0.384 0.616 0.250
Pd 0.616 0.384 0.750


[7]
## HfAs2Pd2 (PBE-GGA)

Data for an optimized crystal structure of HfAs2Pd2.

Computed properties:
**Total DFT energy (no corrections)**: -6.36 eV per atom
**Symmetry**: P4/mbm
**Theoretical density**: 10.38 Mg/m³
**Crystal system**: tetragonal
**Formation energy from the elements**: -2.2 eV per formula unit
**Density of states at the Fermi level**: 0.43 states/eV per atom
**Total moment**: 0.00 μB per formula unit

Lattice parameters (Å, degrees): 7.384 7.384 3.177 90.00 90.00 90.00
Fractional positions:
Hf 0.000 0.000 0.000
Hf 0.500 0.500 0.000
As 0.158 0.342 0.000
As 0.342 0.842 0.000
As 0.658 0.158 0.000
As 0.842 0.658 0.000
Pd 0.144 0.644 0.500
Pd 0.356 0.144 0.500
Pd 0.644 0.856 0.500
Pd 0.856 0.356 0.500


[8]
## Hf2AsPd (PBE-GGA)

Data for an optimized crystal structure of Hf2AsPd.

Computed properties:
**Total DFT energy (no corrections)**: -8.09 eV per atom
**Symmetry**: R-3m
**Theoretical density**: 11.13 Mg/m³
**Crystal system**: trigonal
**Formation energy from the elements**: -2.6 eV per formula unit
**Density of states at the Fermi level**: 0.62 states/eV per atom
**Total moment**: 0.00 μB per formula unit

Lattice parameters (Å, degrees): 7.164 7.164 7.164 29.79 29.79 29.79
Fractional positions:
Hf 0.249 0.249 0.249
Hf 0.751 0.751 0.751
As 0.500 0.500 0.500
Pd 0.000 0.000 0.000


[9]
## HfAsPd3 (PBE-GGA)

Data for an optimized crystal structure of HfAsPd3.

Computed properties:
**Total DFT energy (no corrections)**: -5.99 eV per atom
**Symmetry**: Pm-3m
**Theoretical density**: 9.67 Mg/m³
**Crystal system**: cubic
**Formation energy from the elements**: 0.2 eV per formula unit
**Density of states at the Fermi level**: 0.66 states/eV per atom
**Offset from the most stable computed form**: 0.0000 eV per atom
**Total moment**: 0.00 μB per formula unit

Lattice parameters (Å, degrees): 4.615 4.615 4.615 90.00 90.00 90.00
Fractional positions:
Hf 0.000 0.000 0.000
As 0.500 0.500 0.500
Pd 0.000 0.500 0.500
Pd 0.500 0.000 0.500
Pd 0.500 0.500 0.000


[10]
## HfAs2Pd (PBE-GGA)

Data for an optimized crystal structure of HfAs2Pd.

Computed properties:
**Total DFT energy (no corrections)**: -6.12 eV per atom
**Symmetry**: R-3m
**Theoretical density**: 9.29 Mg/m³
**Crystal system**: trigonal
**Formation energy from the elements**: 0.0 eV per formula unit
**Density of states at the Fermi level**: 0.60 states/eV per atom
**Total moment**: 0.00 μB per formula unit

Lattice parameters (Å, degrees): 9.378 9.378 9.378 19.17 19.17 19.17
Fractional positions:
Hf 0.000 0.000 0.000
As 0.098 0.098 0.098
As 0.902 0.902 0.902
Pd 0.500 0.500 0.500


[11]
## HfAs2PdSe (PBE-GGA)

Data for an optimized crystal structure of HfAs2PdSe.

Computed properties:
**Total DFT energy (no corrections)**: -5.19 eV per atom
**Symmetry**: P4/mmm
**Theoretical density**: 7.60 Mg/m³
**Crystal system**: tetragonal
**Density of states at the Fermi level**: 0.75 states/eV per atom
**Offset from the most stable computed form**: 0.0854 eV per atom
**Formation energy without anion corrections**: 0.395 eV per atom
**Total moment**: 0.00 μB per formula unit

Lattice parameters (Å, degrees): 4.790 4.790 4.894 90.00 90.00 90.00
Fractional positions:
Hf 0.000 0.000 0.000
As 0.000 0.500 0.500
As 0.500 0.000 0.500
Pd 0.500 0.500 0.500
Se 0.500 0.500 0.000


[12]
## HfAs2PdSe (PBE-GGA)

Data for an optimized crystal structure of HfAs2PdSe.

Computed properties:
**Total DFT energy (no corrections)**: -5.28 eV per atom
**Symmetry**: P4/mmm
**Theoretical density**: 6.40 Mg/m³
**Crystal system**: tetragonal
**Density of states at the Fermi level**: 0.96 states/eV per atom
**Offset from the most stable computed form**: 0.0000 eV per atom
**Formation energy without anion corrections**: 0.309 eV per atom
**Total moment**: 0.00 μB per formula unit

Lattice parameters (Å, degrees): 5.134 5.134 5.056 90.00 90.00 90.00
Fractional positions:
Hf 0.000 0.000 0.000
As 0.000 0.500 0.000
As 0.500 0.000 0.000
Pd 0.500 0.500 0.500
Se 0.000 0.000 0.500


Number 1: calculated volume 79.7 Å³/f.u.. Number 2: calculated volume 99.6 Å³/f.u.. Number 3: calculated volume 70.5 Å³/f.u.. Number 4: calculated volume 115.1 Å³/f.u.. Number 5: calculated volume 69.0 Å³/f.u.. Number 6: calculated volume 131.8 Å³/f.u.. Number 7: calculated volume 86.6 Å³/f.u.. Number 8: calculated volume 80.3 Å³/f.u.. Number 9: calculated volume 98.3 Å³/f.u.. Number 10: calculated volume 77.7 Å³/f.u.. Number 11: calculated volume 112.3 Å³/f.u.. Number 12: calculated volume 133.3 Å³/f.u..